Entry 1:
A plane-wave DFT calculation with GGA-PBE was carried out for an optimized crystal structure of UTi2Pt.

a = 4.7931 Å, b = 4.7931 Å, c = 2.9581 Å
α = 90.00°, β = 90.00°, γ = 90.00°
With the nearest neighbours (Å) after each atom.
Space group P4/mmm (No. 123)
Symmetry-distinct sites (fractional):
U 0.0000 0.0000 0.0000 x1  8 Ti 2.82, 2 U 2.96
Ti 0.0000 0.5000 0.5000 x2  4 U 2.82, 4 Pt 2.82, 2 Ti 2.96
Pt 0.5000 0.5000 0.0000 x1  8 Ti 2.82, 2 Pt 2.96

Computed properties:
The value obtained for the energy of formation is -0.32 eV/atom. The energy above the lowest structure with this stoichiometry comes out at 57 meV per atom. The calculation puts the density of states at the Fermi level at 7.1 states/eV/cell.

***

Entry 2:
A plane-wave DFT calculation with GGA-PBE was carried out for an optimized crystal structure of UTi2Pt.

a = 6.4976 Å, b = 6.4976 Å, c = 6.4976 Å
α = 90.00°, β = 90.00°, γ = 90.00°
With the nearest neighbours (Å) after each atom.
Space group Fm-3m (No. 225)
Symmetry-distinct sites (fractional):
U 0.0000 0.0000 0.0000 x4  8 Ti 2.81
Ti 0.2500 0.2500 0.2500 x8  4 U 2.81, 4 Pt 2.81
Pt 0.0000 0.0000 0.5000 x4  8 Ti 2.81

Computed properties:
The value obtained for the energy of formation is -0.19 eV/atom. The energy above the lowest structure with this stoichiometry comes out at 190 meV per atom. The calculation puts the density of states at the Fermi level at 26.5 states/eV/cell.

***

Entry 3:
A plane-wave DFT calculation with GGA-PBE was carried out for an optimized crystal structure of UTiVPt.

a = 6.4179 Å, b = 6.4179 Å, c = 6.4179 Å
α = 90.00°, β = 90.00°, γ = 90.00°
With the nearest neighbours (Å) after each atom.
Space group F-43m (No. 216)
Symmetry-distinct sites (fractional):
U 0.0000 0.0000 0.0000 x4  4 Ti 2.78, 4 V 2.78
Ti 0.2500 0.2500 0.2500 x4  4 U 2.78, 4 Pt 2.78
V 0.2500 0.2500 0.7500 x4  4 U 2.78, 4 Pt 2.78
Pt 0.0000 0.0000 0.5000 x4  4 V 2.78, 4 Ti 2.78

Computed properties:
The value obtained for the energy of formation is -0.10 eV/atom. The calculation puts the density of states at the Fermi level at 23.7 states/eV/cell.

***

Entry 4:
A plane-wave DFT calculation with GGA-PBE was carried out for an optimized crystal structure of Ti3VPt.

a = 4.4496 Å, b = 4.4496 Å, c = 4.4496 Å
α = 90.00°, β = 90.00°, γ = 90.00°
With the nearest neighbours (Å) after each atom.
Space group Pm-3m (No. 221)
Symmetry-distinct sites (fractional):
Ti 0.0000 0.0000 0.5000 x3  2 V 2.22
V 0.0000 0.0000 0.0000 x1  6 Ti 2.22
Pt 0.5000 0.5000 0.5000 x1  12 Ti 3.15

Computed properties:
The value obtained for the energy of formation is 0.49 eV/atom. The energy above the lowest structure with this stoichiometry comes out at 0 meV per atom. The calculation puts the density of states at the Fermi level at 8.6 states/eV/cell.

***

Entry 5:
A plane-wave DFT calculation with GGA-PBE was carried out for an optimized crystal structure of TiVPt.

a = 4.3721 Å, b = 4.3721 Å, c = 2.7058 Å
α = 90.00°, β = 90.00°, γ = 120.00°
With the nearest neighbours (Å) after each atom.
Space group P3m1 (No. 156)
Symmetry-distinct sites (fractional):
Ti 0.0000 0.0000 0.0000 x1  3 V 2.63, 2 Ti 2.71, 3 Pt 2.71
V 0.3333 0.6667 0.7271 x1  3 Ti 2.63, 3 Pt 2.70, 2 V 2.71
Pt 0.6667 0.3333 0.3683 x1  3 V 2.70, 2 Pt 2.71, 3 Ti 2.71

Computed properties:
The value obtained for the energy of formation is -0.35 eV/atom. The energy above the lowest structure with this stoichiometry comes out at 124 meV per atom. The calculation puts the density of states at the Fermi level at 4.9 states/eV/cell.

***

Entry 6:
A plane-wave DFT calculation with GGA-PBE was carried out for an optimized crystal structure of TiVPt3.

a = 6.9247 Å, b = 10.7700 Å, c = 4.6361 Å
α = 90.00°, β = 90.00°, γ = 90.00°
With the nearest neighbours (Å) after each atom.
Space group Cmcm (No. 63)
Symmetry-distinct sites (fractional):
Ti 0.0000 0.1367 0.2500 x4  8 Pt 2.72-2.86
V 0.0000 0.5000 0.0000 x4  2 V 2.32, 6 Pt 2.52-2.56
Pt 0.0000 0.2920 0.7500 x4  2 V 2.52, 2 Pt 2.64
Pt 0.1966 0.0823 0.7500 x8  2 V 2.56, 2 Pt 2.64-2.72, 3 Ti 2.72-2.75

Computed properties:
The value obtained for the energy of formation is -0.25 eV/atom. The energy above the lowest structure with this stoichiometry comes out at 226 meV per atom. The calculation puts the density of states at the Fermi level at 22.9 states/eV/cell.

***

Entry 7:
A plane-wave DFT calculation with GGA-PBE was carried out for an optimized crystal structure of Ti3VPt12.

a = 3.9369 Å, b = 3.9369 Å, c = 15.8035 Å
α = 90.00°, β = 90.00°, γ = 90.00°
With the nearest neighbours (Å) after each atom.
Space group P4/mmm (No. 123)
Symmetry-distinct sites (fractional):
Ti 0.0000 0.0000 0.0000 x1  12 Pt 2.78-2.79
Ti 0.0000 0.0000 0.2518 x2  12 Pt 2.76-2.81
V 0.0000 0.0000 0.5000 x1  12 Pt 2.78-2.79
Pt 0.0000 0.5000 0.1248 x4  8 Pt 2.78-2.79, 4 Ti 2.79-2.81
Pt 0.0000 0.5000 0.3747 x4  2 Ti 2.76, 8 Pt 2.78-2.79, 2 V 2.79
Pt 0.5000 0.5000 0.0000 x1  4 Ti 2.78, 8 Pt 2.79
Pt 0.5000 0.5000 0.2499 x2  4 Ti 2.78, 8 Pt 2.79
Pt 0.5000 0.5000 0.5000 x1  4 V 2.78, 8 Pt 2.79

Computed properties:
The value obtained for the energy of formation is -0.76 eV/atom. The calculation puts the density of states at the Fermi level at 8.8 states/eV/cell.

***

Entry 8:
A plane-wave DFT calculation with GGA-PBE was carried out for an optimized crystal structure of TiVPt5.

a = 6.7440 Å, b = 7.4472 Å, c = 9.3206 Å
α = 90.00°, β = 109.91°, γ = 90.00°
With the nearest neighbours (Å) after each atom.
Space group C2/c (No. 15)
Symmetry-distinct sites (fractional):
Ti 0.0000 0.0000 0.0000 x4  6 Pt 2.54-2.77
V 0.0000 0.4832 0.2500 x4  9 Pt 2.59-2.81
Pt 0.0000 0.1356 0.2500 x4  2 Ti 2.54, 1 V 2.59, 4 Pt 2.71-2.72
Pt 0.1097 0.3505 0.5364 x8  6 Pt 2.63-2.93, 2 V 2.65-2.70, 1 Ti 2.70
Pt 0.2032 0.2039 0.8440 x8  2 V 2.69-2.81, 8 Pt 2.70-2.97, 2 Ti 2.77-3.00

Computed properties:
The value obtained for the energy of formation is -0.53 eV/atom. The calculation puts the density of states at the Fermi level at 21.1 states/eV/cell.